1.
VASP calculation (PBE) on a relaxed structure of KSr2CeI8.

Values from the calculation:
uncorrected energy = -3.4180 eV/atom
formation energy without anion corrections = -1518.4 meV per atom
total magnetization = 1.00 μB per cell
crystal system = monoclinic

Cell lengths 7.904, 7.490, 10.009 Å; angles 89.98, 89.99, 90.03 degrees
Sites, in units of the cell vectors:
I 0.358 0.263 0.500
I 0.842 0.242 0.223
I 0.158 0.758 0.777
I 0.157 0.757 0.223
I 0.642 0.737 0.500
I 0.667 0.748 0.000
I 0.333 0.252 0.000
I 0.843 0.243 0.777
Sr 0.500 0.500 0.747
Sr 0.500 0.500 0.253
Ce 0.000 0.000 0.000
K 0.000 0.000 0.500

=====

2.
VASP calculation (PBE) on a relaxed structure of KCeTeI.

Values from the calculation:
uncorrected energy = -4.1124 eV/atom
formation energy without anion corrections = -1181.6 meV per atom
total magnetization = 1.85 μB per cell
crystal system = trigonal

Cell lengths 4.513, 4.513, 9.119 Å; angles 90.00, 104.32, 120.00 degrees
Sites, in units of the cell vectors:
Ce 0.124 0.960 0.098
Te 0.319 0.557 0.892
I 0.952 0.374 0.341
K 0.484 0.140 0.639

=====

3.
VASP calculation (PBE) on a relaxed structure of KCeTl2I6.

Values from the calculation:
uncorrected energy = -3.2080 eV/atom
formation energy without anion corrections = -1101.5 meV per atom
total magnetization = 2.00 μB per cell
crystal system = monoclinic

Cell lengths 8.351, 9.319, 12.232 Å; angles 90.00, 86.22, 90.00 degrees
Sites, in units of the cell vectors:
I 0.314 0.670 0.045
I 0.186 0.170 0.455
I 0.662 0.280 0.589
I 0.686 0.330 0.955
I 0.147 0.429 0.762
I 0.162 0.220 0.089
I 0.353 0.929 0.738
I 0.814 0.830 0.545
I 0.338 0.720 0.411
I 0.853 0.571 0.238
I 0.647 0.071 0.262
I 0.838 0.780 0.911
Tl 0.474 0.416 0.218
Tl 0.526 0.584 0.782
Tl 0.974 0.084 0.718
Tl 0.026 0.916 0.282
K 0.000 0.500 0.500
K 0.500 0.000 0.000
Ce 0.000 0.500 0.000
Ce 0.500 0.000 0.500

=====

4.
VASP calculation (PBE) on a relaxed structure of La2CeI.

Values from the calculation:
uncorrected energy = -4.6943 eV/atom
formation energy without anion corrections = -359.5 meV per atom
excess energy over the best structure of this formula in the dataset = 0.0 meV/atom
total magnetization = 1.61 μB per cell
crystal system = trigonal

Cell lengths 3.850, 3.850, 11.186 Å; angles 80.09, 80.09, 59.99 degrees
Sites, in units of the cell vectors:
I 0.667 0.667 0.001
La 0.079 0.079 0.763
La 0.255 0.255 0.237
Ce 0.500 0.500 0.499

=====

5.
VASP calculation (PBE) on a relaxed structure of LaCeI2.

Values from the calculation:
uncorrected energy = -4.3695 eV/atom
formation energy without anion corrections = -879.1 meV per atom
excess energy over the best structure of this formula in the dataset = 0.0 meV/atom
total magnetization = 1.33 μB per cell
crystal system = trigonal

Cell lengths 3.940, 3.940, 9.972 Å; angles 78.61, 78.61, 60.00 degrees
Sites, in units of the cell vectors:
I 0.084 0.084 0.747
I 0.249 0.249 0.253
Ce 0.501 0.501 0.496
La 0.666 0.666 0.003

=====

6.
VASP calculation (PBE) on a relaxed structure of La2Ce2I7.

Values from the calculation:
uncorrected energy = -4.0213 eV/atom
formation energy without anion corrections = -1060.1 meV per atom
total magnetization = 5.21 μB per cell
crystal system = monoclinic

Cell lengths 8.449, 8.269, 8.269 Å; angles 109.93, 89.04, 89.04 degrees
Sites, in units of the cell vectors:
I 0.715 0.018 0.424
I 0.715 0.424 0.018
I 0.000 0.000 0.000
I 0.285 0.982 0.576
I 0.757 0.640 0.640
I 0.243 0.360 0.360
I 0.285 0.576 0.982
Ce 0.500 0.641 0.359
Ce 0.500 0.359 0.641
La 0.865 0.310 0.310
La 0.135 0.690 0.690

=====

7.
VASP calculation (PBE) on a relaxed structure of La2CeI.

Values from the calculation:
uncorrected energy = -4.5005 eV/atom
formation energy without anion corrections = -165.8 meV per atom
excess energy over the best structure of this formula in the dataset = 193.8 meV/atom
total magnetization = 1.38 μB per cell
crystal system = trigonal

Cell lengths 3.661, 3.661, 12.088 Å; angles 81.29, 81.29, 60.00 degrees
Sites, in units of the cell vectors:
Ce 0.000 0.000 0.000
La 0.094 0.094 0.719
La 0.906 0.906 0.281
I 0.500 0.500 0.500

=====

8.
VASP calculation (PBE) on a relaxed structure of LaCeI4.

Values from the calculation:
uncorrected energy = -4.0782 eV/atom
formation energy without anion corrections = -1234.5 meV per atom
excess energy over the best structure of this formula in the dataset = 68.3 meV/atom
total magnetization = 1.73 μB per cell
crystal system = tetragonal

Cell lengths 6.379, 6.379, 7.675 Å; angles 114.56, 114.56, 90.00 degrees
Sites, in units of the cell vectors:
La 0.250 0.750 0.500
Ce 0.500 0.500 0.000
I 0.760 0.760 0.521
I 0.240 0.240 0.479
I 0.988 0.488 0.975
I 0.512 0.012 0.025

=====

9.
VASP calculation (PBE) on a relaxed structure of LaCeI2.

Values from the calculation:
uncorrected energy = -4.3525 eV/atom
formation energy without anion corrections = -862.1 meV per atom
excess energy over the best structure of this formula in the dataset = 17.0 meV/atom
total magnetization = 1.28 μB per cell
crystal system = trigonal

Cell lengths 3.956, 3.955, 9.906 Å; angles 101.49, 90.01, 120.01 degrees
Sites, in units of the cell vectors:
I 0.336 0.428 0.807
I 0.832 0.421 0.297
Ce 0.084 0.925 0.052
La 0.584 0.925 0.552

=====

10.
VASP calculation (PBE) on a relaxed structure of LaCeI4.

Values from the calculation:
uncorrected energy = -4.1464 eV/atom
formation energy without anion corrections = -1302.8 meV per atom
excess energy over the best structure of this formula in the dataset = 0.0 meV/atom
total magnetization = 1.89 μB per cell
crystal system = monoclinic

Cell lengths 4.284, 7.492, 8.134 Å; angles 89.57, 90.00, 90.00 degrees
Sites, in units of the cell vectors:
Ce 0.500 0.500 0.000
La 0.000 0.000 0.000
I 0.500 0.831 0.745
I 0.000 0.336 0.747
I 0.500 0.169 0.255
I 0.000 0.664 0.253

=====

11.
VASP calculation (PBE) on a relaxed structure of LaCeI.

Values from the calculation:
uncorrected energy = -4.6629 eV/atom
formation energy without anion corrections = -525.7 meV per atom
total magnetization = 0.00 μB per cell
crystal system = orthorhombic

Cell lengths 4.255, 4.275, 11.871 Å; angles 79.63, 90.00, 90.00 degrees
Sites, in units of the cell vectors:
La 0.250 0.108 0.785
La 0.750 0.892 0.215
Ce 0.750 0.534 0.932
Ce 0.250 0.466 0.068
I 0.750 0.677 0.645
I 0.250 0.323 0.355

=====

12.
VASP calculation (PBE) on a relaxed structure of La7CeI12.

Values from the calculation:
uncorrected energy = -4.1293 eV/atom
formation energy without anion corrections = -1177.9 meV per atom
total magnetization = 5.73 μB per cell
crystal system = trigonal

Cell lengths 10.145, 10.145, 10.145 Å; angles 107.70, 107.70, 107.70 degrees
Sites, in units of the cell vectors:
I 0.074 0.681 0.225
I 0.158 0.394 0.478
I 0.606 0.522 0.842
I 0.681 0.225 0.074
I 0.926 0.319 0.775
I 0.319 0.775 0.926
I 0.775 0.926 0.319
I 0.394 0.478 0.158
I 0.225 0.074 0.681
I 0.842 0.606 0.522
I 0.522 0.842 0.606
I 0.478 0.158 0.394
La 0.036 0.313 0.109
La 0.891 0.964 0.687
La 0.313 0.109 0.036
La 0.964 0.687 0.891
La 0.687 0.891 0.964
La 0.109 0.036 0.313
La 0.500 0.500 0.500
Ce 0.000 0.000 0.000

=====

13.
VASP calculation (PBE) on a relaxed structure of LaCe2I8.

Values from the calculation:
uncorrected energy = -3.8870 eV/atom
formation energy without anion corrections = -1232.8 meV per atom
total magnetization = 3.02 μB per cell
crystal system = monoclinic

Cell lengths 6.549, 10.013, 10.013 Å; angles 71.98, 87.64, 87.64 degrees
Sites, in units of the cell vectors:
I 0.750 0.112 0.715
I 0.244 0.815 0.815
I 0.258 0.395 0.395
I 0.742 0.605 0.605
I 0.750 0.715 0.112
I 0.756 0.185 0.185
I 0.250 0.285 0.888
I 0.250 0.888 0.285
Ce 0.251 0.213 0.213
Ce 0.749 0.787 0.787
La 0.000 0.000 0.000

=====

14.
VASP calculation (PBE) on a relaxed structure of La2CeI.

Values from the calculation:
uncorrected energy = -4.6729 eV/atom
formation energy without anion corrections = -338.2 meV per atom
excess energy over the best structure of this formula in the dataset = 21.3 meV/atom
total magnetization = 0.75 μB per cell
crystal system = tetragonal

Cell lengths 3.723, 3.723, 9.760 Å; angles 90.00, 90.00, 90.00 degrees
Sites, in units of the cell vectors:
I 0.500 0.500 0.500
La 0.000 0.000 0.750
La 0.000 0.000 0.250
Ce 0.500 0.500 0.000

=====

15.
VASP calculation (PBE) on a relaxed structure of LaCeIN2.

Values from the calculation:
uncorrected energy = -7.3833 eV/atom
formation energy without anion corrections = -1570.8 meV per atom
total magnetization = 0.00 μB per cell
crystal system = monoclinic

Cell lengths 4.250, 7.513, 8.236 Å; angles 106.24, 90.00, 90.00 degrees
Sites, in units of the cell vectors:
Ce 0.750 0.367 0.595
Ce 0.250 0.633 0.405
N 0.250 0.495 0.136
N 0.750 0.505 0.864
N 0.750 0.511 0.388
N 0.250 0.489 0.612
La 0.750 0.343 0.081
La 0.250 0.657 0.919
I 0.250 0.041 0.751
I 0.750 0.959 0.249

=====

16.
VASP calculation (PBE) on a relaxed structure of LaCeI2N.

Values from the calculation:
uncorrected energy = -5.6134 eV/atom
formation energy without anion corrections = -1156.0 meV per atom
total magnetization = 3.02 μB per cell
crystal system = tetragonal

Cell lengths 4.368, 4.368, 15.811 Å; angles 90.00, 90.00, 90.00 degrees
Sites, in units of the cell vectors:
Ce 0.500 0.000 0.084
Ce 0.000 0.500 0.916
I 0.500 0.000 0.286
I 0.000 0.500 0.714
I 0.500 0.000 0.879
I 0.000 0.500 0.121
N 0.500 0.500 0.500
N 0.000 0.000 0.500
La 0.500 0.000 0.566
La 0.000 0.500 0.434

=====

17.
VASP calculation (PBE) on a relaxed structure of LaCeOsI.

Values from the calculation:
uncorrected energy = -6.5637 eV/atom
formation energy without anion corrections = -653.4 meV per atom
total magnetization = 0.30 μB per cell
crystal system = trigonal

Cell lengths 4.152, 4.152, 8.543 Å; angles 90.00, 104.06, 120.00 degrees
Sites, in units of the cell vectors:
Os 0.315 0.555 0.885
I 0.962 0.379 0.357
Ce 0.089 0.943 0.047
La 0.512 0.154 0.681

=====

18.
VASP calculation (PBE) on a relaxed structure of La2CeP2I2.

Values from the calculation:
uncorrected energy = -5.4489 eV/atom
formation energy without anion corrections = -1204.8 meV per atom
total magnetization = 1.62 μB per cell
crystal system = tetragonal

Cell lengths 5.361, 5.361, 9.145 Å; angles 107.05, 107.05, 90.00 degrees
Sites, in units of the cell vectors:
I 0.807 0.807 0.613
I 0.193 0.193 0.387
La 0.402 0.402 0.804
La 0.598 0.598 0.196
P 0.000 0.500 0.000
P 0.500 0.000 0.000
Ce 0.000 0.000 0.000

=====

19.
VASP calculation (PBE) on a relaxed structure of La2CePt2I2.

Values from the calculation:
uncorrected energy = -5.4897 eV/atom
formation energy without anion corrections = -1065.3 meV per atom
total magnetization = 0.00 μB per cell
crystal system = tetragonal

Cell lengths 5.224, 5.224, 9.275 Å; angles 106.36, 106.36, 90.00 degrees
Sites, in units of the cell vectors:
Ce 0.000 0.000 0.000
I 0.808 0.808 0.615
I 0.192 0.192 0.385
La 0.391 0.391 0.782
La 0.609 0.609 0.218
Pt 0.500 0.000 0.000
Pt 0.000 0.500 0.000

=====

20.
VASP calculation (PBE) on a relaxed structure of LaCePtI.

Values from the calculation:
uncorrected energy = -5.7016 eV/atom
formation energy without anion corrections = -1088.5 meV per atom
total magnetization = 1.20 μB per cell
crystal system = trigonal

Cell lengths 4.273, 4.272, 8.558 Å; angles 90.00, 104.45, 120.00 degrees
Sites, in units of the cell vectors:
I 0.963 0.380 0.359
Ce 0.096 0.946 0.057
Pt 0.308 0.552 0.876
La 0.510 0.153 0.679